# MnTc3O (PBE with a Hubbard U, optimized geometry)
data_MnTc3O
_symmetry_space_group_name_H-M 'P m -3 m'
_symmetry_Int_Tables_number 221
_symmetry_space_group_name_Hall '-P 4 2 3'
_cell_length_a 4.054
_cell_length_b 4.054
_cell_length_c 4.054
_cell_angle_alpha 90.00
_cell_angle_beta 90.00
_cell_angle_gamma 90.00
loop_
_atom_site_label
_atom_site_type_symbol
_atom_site_fract_x
_atom_site_fract_y
_atom_site_fract_z
_atom_site_occupancy
Mn1 Mn 0.000 0.000 0.000 1
Tc1 Tc 0.000 0.500 0.500 1
O1 O 0.500 0.500 0.500 1
# Magnetization in μB per cell: 1.11
# Crystal system: cubic
# ΔE to the lowest computed polymorph in eV/atom: 0.000
# Total DFT energy (no corrections) in eV/atom: -8.088